Crystalline CdPRu2 at its relaxed geometry, computed with PBE-GGA.

formation energy: 546 meV per atom
SG: No. 216
excess energy over the best structure of this formula in the dataset: 673 meV/atom
E_tot: -5.673 eV per atom
density of states at the Fermi level: 14.90 states/eV per cell

Lattice parameters (Å, degrees): 6.280 6.280 6.280 90.00 90.00 90.00
Sites, in units of the cell vectors:
Cd  0.000  0.000  0.000
Cd  0.000  0.500  0.500
Cd  0.500  0.000  0.500
Cd  0.500  0.500  0.000
P  0.250  0.250  0.250
P  0.250  0.750  0.750
P  0.750  0.250  0.750
P  0.750  0.750  0.250
Ru  0.000  0.000  0.500
Ru  0.000  0.500  0.000
Ru  0.250  0.250  0.750
Ru  0.250  0.750  0.250
Ru  0.500  0.000  0.000
Ru  0.500  0.500  0.500
Ru  0.750  0.250  0.250
Ru  0.750  0.750  0.750